Record 1
VASP calculation (GGA-PBE) on a relaxed Ta2AlMoH crystal.

abc: 4.185 4.185 3.979
angles: 90.00 90.00 90.00
Space group P4/mmm (No. 123)
One atom of each set of equivalent atoms:
Ta (0.000, 0.500, 0.000) x2
Al (0.000, 0.000, 0.500) x1
Mo (0.500, 0.500, 0.500) x1
H (0.500, 0.500, 0.000) x1

Properties
- D(E_F): 2.79 states/eV/cell
- Energy relative to the lowest polymorph listed for this composition: 0 meV per atom
- Spin magnetization: 0.00 μB per formula unit

---

Record 2
VASP calculation (GGA-PBE) on a relaxed MgBCl2 crystal.

abc: 3.5068 3.5068 26.4531
angles: 90.00 90.00 120.00
Space group R-3m (No. 166, hexagonal axes)
One atom of each set of equivalent atoms:
Mg (0.0000, 0.0000, 0.0000) x3
B (0.0000, 0.0000, 0.5000) x3
Cl (0.0000, 0.0000, 0.3874) x6

Properties
- D(E_F): 2.44 states/eV/cell
- Energy relative to the lowest polymorph listed for this composition: 0 meV per atom
- Spin magnetization: 0.00 μB per formula unit

---

Record 3
VASP calculation (GGA-PBE) on a relaxed Ac2La3NdP6 crystal.

abc: 7.483 12.959 7.477
angles: 90.00 109.48 90.00
Space group C2/m (No. 12)
One atom of each set of equivalent atoms:
Ac (0.000, 0.166, 0.000) x4
La (0.000, 0.000, 0.500) x2
La (0.000, 0.333, 0.500) x4
Nd (0.000, 0.500, 0.000) x2
P (0.240, 0.500, 0.745) x4
P (0.248, 0.337, 0.255) x8

Properties
- D(E_F): 1.07 states/eV/cell
- ΔH_f (0 K): -1.52 eV/atom
- Spin magnetization: 0.00 μB per formula unit

---

Record 4
VASP calculation (GGA-PBE) on a relaxed CaS3N crystal.

abc: 4.282 4.282 4.282
angles: 90.00 90.00 90.00
Space group Pm-3m (No. 221)
One atom of each set of equivalent atoms:
Ca (0.000, 0.000, 0.000) x1
S (0.000, 0.500, 0.500) x3
N (0.500, 0.500, 0.500) x1

Properties
- D(E_F): 2.21 states/eV/cell
- Energy relative to the lowest polymorph listed for this composition: 0 meV per atom
- Spin magnetization: 0.00 μB per formula unit

---

Record 5
VASP calculation (GGA-PBE) on a relaxed SrSmPt4 crystal.

abc: 7.816 7.816 7.816
angles: 90.00 90.00 90.00
Space group F-43m (No. 216)
One atom of each set of equivalent atoms:
Sr (0.000, 0.000, 0.000) x4
Sm (0.250, 0.250, 0.750) x4
Pt (0.125, 0.125, 0.375) x16

Properties
- D(E_F): 21.46 states/eV/cell
- ΔH_f (0 K): -0.97 eV/atom
- Spin magnetization: 0.00 μB per formula unit

---

Record 6
VASP calculation (GGA-PBE) on a relaxed NdScBi crystal.

abc: 3.475 5.927 17.576
angles: 90.00 90.00 90.00
Space group Immm (No. 71)
One atom of each set of equivalent atoms:
Nd (0.000, 0.000, 0.163) x4
Sc (0.000, 0.260, 0.500) x4
Bi (0.000, 0.000, 0.349) x4

Properties
- D(E_F): 10.60 states/eV/cell
- ΔH_f (0 K): -0.32 eV/atom
- Spin magnetization: 0.56 μB per formula unit